This record from Alexandria describes a geometry-optimized NaNbTlCl6 structure. The functional is PBE.

Cell and atoms, written as POSCAR:
```
NaNbTlCl6
1.0
7.0139 0.0000 0.0000
-3.5070 6.0742 0.0000
0.0000 0.0000 13.3373
Na Nb Tl Cl
2 2 2 12
direct
0.3333 0.6667 0.2500 Na
0.6667 0.3333 0.7500 Na
0.3333 0.6667 0.7500 Nb
0.6667 0.3333 0.2500 Nb
0.0000 0.0000 0.0000 Tl
0.0000 0.0000 0.5000 Tl
0.0416 0.3918 0.6437 Cl
0.0416 0.6498 0.8563 Cl
0.3502 0.3918 0.8563 Cl
0.3502 0.9584 0.6437 Cl
0.3918 0.0416 0.1437 Cl
0.3918 0.3502 0.3563 Cl
0.6082 0.6498 0.6437 Cl
0.6082 0.9584 0.8563 Cl
0.6498 0.0416 0.3563 Cl
0.6498 0.6082 0.1437 Cl
0.9584 0.3502 0.1437 Cl
0.9584 0.6082 0.3563 Cl
```

Computed properties:
- Volume: 568 Å³/cell
- Space group: No. 163
- ΔE_f (raw): -1.321 eV/atom